Computed, not measured: a relaxed structure of FeCoBr at the PBE level of DFT.

Values from the calculation:
Formation energy from raw total energies (meV per atom): 691
Offset from the most stable computed form (meV/atom): 271
Symmetry: F-43m
Crystal system: cubic
Raw total energy (hartree per atom): -0.186

Cell: 4.110 4.110 4.110 Å, 60.00 60.00 60.00°
Positions (direct):
1 Fe 0.000 0.000 0.000
2 Co 0.750 0.750 0.750
3 Br 0.500 0.500 0.500